Record 1
{
  "formula": "Ho2ErPuTl4",
  "functional": "PBE",
  "state": "optimized geometry",
  "lattice_angstrom": [[2.682, 1.548, 8.762], [-2.682, 1.548, 8.762], [0.000, -3.097, 8.762]],
  "species": ["Ho", "Ho", "Er", "Pu", "Tl", "Tl", "Tl", "Tl"],
  "frac_coords": [[0.248, 0.248, 0.248], [0.752, 0.752, 0.752], [0.000, 0.000, 0.000], [0.500, 0.500, 0.500], [0.123, 0.123, 0.123], [0.373, 0.373, 0.373], [0.627, 0.627, 0.627], [0.877, 0.877, 0.877]],
  "final_energy_ev_per_atom": -4.916,
  "ef_ev_per_atom": -0.2262
}

***

Record 2
{
  "formula": "ZrPBr",
  "functional": "PBE",
  "state": "optimized geometry",
  "lattice_angstrom": [[3.369, 0.000, 0.000], [0.000, 3.369, 0.000], [0.000, 0.000, 12.850]],
  "species": ["Zr", "Zr", "P", "P", "Br", "Br"],
  "frac_coords": [[0.000, 0.000, 0.000], [0.500, 0.500, 0.500], [0.000, 0.000, 0.591], [0.500, 0.500, 0.091], [0.000, 0.000, 0.346], [0.500, 0.500, 0.846]],
  "e_above_lowest_polymorph_kj_per_mol_atoms": 27.9,
  "final_energy_ev_per_atom": -5.906,
  "raw_formation_energy_mev_per_atom": -695
}

***

Let's list total moment in order: 6.38; 0.00 μB per cell.
Let's list N(E_F) in order: 13.49; 3.45 states/eV/cell.